{
  "formula": "Ni2AgOs",
  "functional": "GGA-PBE",
  "state": "optimized geometry",
  "cell": [[-2.284, -2.064, 2.749], [-1.574, -0.835, -1.935], [2.071, -4.395, -1.579]],
  "species": ["Ag", "Ni", "Ni", "Os"],
  "fractional_positions": [[0.500, 0.796, 0.785], [0.000, 0.190, 0.997], [0.500, 0.050, 0.273], [0.000, 0.464, 0.446]],
  "dos_at_fermi_per_ev_cell": 4.260,
  "polymorph_energy_ev_per_fu": 0.64,
  "ef_mev_per_atom": 353,
  "space_group": "Amm2, No. 38"
}